# 1
First-principles (PBE) data for GdTlZnNi after structural relaxation, as listed in Alexandria. Values from VASP.

## Properties
Density of states at the Fermi level in states/eV per atom: 0.6358
Final energy in eV per atom: -6.0490
E_form in eV per atom: -0.1734
Crystal system: cubic
Space group: F-43m

The structure in Quantum ESPRESSO input format:
```
&SYSTEM
  ibrav = 0, nat = 4, ntyp = 4
/
ATOMIC_SPECIES
Gd 157.25 Gd.upf
Tl 204.38 Tl.upf
Zn 65.41 Zn.upf
Ni 58.69 Ni.upf
ATOMIC_POSITIONS crystal
Gd 0.000 0.000 0.000
Tl 0.500 0.500 0.500
Zn 0.750 0.750 0.750
Ni 0.250 0.250 0.250
CELL_PARAMETERS angstrom
0.000 3.384 3.384
3.384 0.000 3.384
3.384 3.384 0.000
```

# 2
First-principles (PBE) data for Zn3Ni5Ir after structural relaxation, as listed in Alexandria. Values from VASP.

## Properties
Density of states at the Fermi level in states/eV per atom: 1.2673
Final energy in eV per atom: -4.3616
E_form in eV per atom: 0.2594
Crystal system: tetragonal
Space group: I4/mcm

The structure in Quantum ESPRESSO input format:
```
&SYSTEM
  ibrav = 0, nat = 18, ntyp = 3
/
ATOMIC_SPECIES
Zn 65.41 Zn.upf
Ni 58.69 Ni.upf
Ir 192.22 Ir.upf
ATOMIC_POSITIONS crystal
Zn 0.116 0.616 0.733
Zn 0.250 0.250 0.000
Zn 0.384 0.116 0.500
Zn 0.616 0.884 0.500
Zn 0.750 0.750 0.000
Zn 0.884 0.384 0.267
Ni 0.000 0.000 0.000
Ni 0.071 0.152 0.500
Ni 0.152 0.652 0.081
Ni 0.348 0.429 0.500
Ni 0.429 0.929 0.081
Ni 0.500 0.500 0.000
Ni 0.571 0.071 0.919
Ni 0.652 0.571 0.500
Ni 0.848 0.348 0.919
Ni 0.929 0.848 0.500
Ir 0.250 0.750 0.500
Ir 0.750 0.250 0.500
CELL_PARAMETERS angstrom
-3.321 3.321 5.427
3.321 -3.321 5.427
3.321 3.321 -5.427
```

# 3
First-principles (PBE) data for BaTcF2 after structural relaxation, as listed in Alexandria. Values from VASP.

## Properties
Density of states at the Fermi level in states/eV per atom: 0.5763
Final energy in eV per atom: -5.2238
Polymorph energy (0 for the lowest one) in meV per atom: 315
Raw formation energy in eV per atom: -1.22
Crystal system: tetragonal
Space group: I-42d

The structure in Quantum ESPRESSO input format:
```
&SYSTEM
  ibrav = 0, nat = 8, ntyp = 3
/
ATOMIC_SPECIES
Ba 137.33 Ba.upf
Tc 98.00 Tc.upf
F 19.00 F.upf
ATOMIC_POSITIONS crystal
Ba 0.000 0.000 0.000
Ba 0.750 0.250 0.500
Tc 0.250 0.750 0.500
Tc 0.500 0.500 0.000
F 0.202 0.625 0.077
F 0.375 0.452 0.577
F 0.548 0.125 0.923
F 0.875 0.798 0.423
CELL_PARAMETERS angstrom
-2.352 2.352 7.585
2.352 -2.352 7.585
2.352 2.352 -7.585
```

# 4
First-principles (PBE) data for AsRuBr after structural relaxation, as listed in Alexandria. Values from VASP.

## Properties
Density of states at the Fermi level in states/eV per atom: 0.6502
Final energy in eV per atom: -5.0011
Polymorph energy (0 for the lowest one) in meV per atom: 260
Raw formation energy in eV per atom: 0.20
Crystal system: tetragonal
Space group: I4mm

The structure in Quantum ESPRESSO input format:
```
&SYSTEM
  ibrav = 0, nat = 3, ntyp = 3
/
ATOMIC_SPECIES
As 74.92 As.upf
Ru 101.07 Ru.upf
Br 79.90 Br.upf
ATOMIC_POSITIONS crystal
As 0.000 0.000 0.000
Ru 0.393 0.393 0.000
Br 0.744 0.744 0.000
CELL_PARAMETERS angstrom
-1.535 1.535 6.432
1.535 -1.535 6.432
1.535 1.535 -6.432
```

# 5
First-principles (PBE) data for LaOsW2 after structural relaxation, as listed in Alexandria. Values from VASP.

## Properties
Density of states at the Fermi level in states/eV per atom: 1.0970
Final energy in eV per atom: -9.8005
Polymorph energy (0 for the lowest one) in meV per atom: 322
E_form in eV per atom: 0.7154
Crystal system: orthorhombic
Space group: Imm2

The structure in Quantum ESPRESSO input format:
```
&SYSTEM
  ibrav = 0, nat = 4, ntyp = 3
/
ATOMIC_SPECIES
La 138.91 La.upf
Os 190.23 Os.upf
W 183.84 W.upf
ATOMIC_POSITIONS crystal
La 0.000 0.000 0.000
Os 0.275 0.775 0.500
W 0.494 0.494 0.000
W 0.719 0.219 0.500
CELL_PARAMETERS angstrom
-1.531 2.586 4.843
1.531 -2.586 4.843
1.531 2.586 -4.843
```

# 6
First-principles (PBE) data for NaHfTeO5 after structural relaxation, as listed in Alexandria. Values from VASP.

## Properties
Density of states at the Fermi level in states/eV per atom: 0.2044
Final energy in eV per atom: -6.8812
Raw formation energy in eV per atom: -1.98
Crystal system: monoclinic
Space group: C2/c

The structure in Quantum ESPRESSO input format:
```
&SYSTEM
  ibrav = 0, nat = 16, ntyp = 4
/
ATOMIC_SPECIES
Na 22.99 Na.upf
Hf 178.49 Hf.upf
Te 127.60 Te.upf
O 16.00 O.upf
ATOMIC_POSITIONS crystal
Na 0.072 0.928 0.750
Na 0.928 0.072 0.250
Hf 0.000 0.500 0.000
Hf 0.500 0.000 0.500
Te 0.452 0.548 0.750
Te 0.548 0.452 0.250
O 0.223 0.251 0.045
O 0.224 0.621 0.869
O 0.251 0.223 0.545
O 0.252 0.748 0.250
O 0.379 0.776 0.631
O 0.621 0.224 0.369
O 0.748 0.252 0.750
O 0.749 0.777 0.455
O 0.776 0.379 0.131
O 0.777 0.749 0.955
CELL_PARAMETERS angstrom
3.875 -4.361 0.000
3.875 4.361 0.000
-3.843 0.000 7.242
```

# 7
First-principles (PBE) data for BaHgSe2 after structural relaxation, as listed in Alexandria. Values from VASP.

## Properties
Density of states at the Fermi level in states/eV per atom: 0.3875
Final energy in eV per atom: -3.2004
Raw formation energy in eV per atom: -0.90
Crystal system: tetragonal
Space group: P4/mmm

The structure in Quantum ESPRESSO input format:
```
&SYSTEM
  ibrav = 0, nat = 4, ntyp = 3
/
ATOMIC_SPECIES
Ba 137.33 Ba.upf
Hg 200.59 Hg.upf
Se 78.96 Se.upf
ATOMIC_POSITIONS crystal
Ba 0.000 0.000 0.000
Hg 0.500 0.500 0.500
Se 0.000 0.000 0.500
Se 0.500 0.500 0.000
CELL_PARAMETERS angstrom
4.502 0.000 0.000
0.000 4.502 0.000
0.000 0.000 6.355
```

# 8
First-principles (PBE) data for TePt2Br after structural relaxation, as listed in Alexandria. Values from VASP.

## Properties
Density of states at the Fermi level in states/eV per atom: 0.5239
Final energy in eV per atom: -4.1816
Polymorph energy (0 for the lowest one) in meV per atom: 259
Raw formation energy in eV per atom: 0.04
Crystal system: monoclinic
Space group: C2/m

The structure in Quantum ESPRESSO input format:
```
&SYSTEM
  ibrav = 0, nat = 4, ntyp = 3
/
ATOMIC_SPECIES
Te 127.60 Te.upf
Pt 195.08 Pt.upf
Br 79.90 Br.upf
ATOMIC_POSITIONS crystal
Te 0.000 0.000 0.000
Pt 0.258 0.258 0.771
Pt 0.742 0.742 0.229
Br 0.500 0.500 0.500
CELL_PARAMETERS angstrom
3.272 -1.891 0.000
3.272 1.891 0.000
-2.162 0.000 6.918
```

# 9
First-principles (PBE) data for Nd5Mg2Sn4 after structural relaxation, as listed in Alexandria. Values from VASP.

## Properties
Density of states at the Fermi level in states/eV per atom: 0.8734
Final energy in eV per atom: -4.2858
E_form in eV per atom: -0.3731
Crystal system: monoclinic
Space group: C2/m

The structure in Quantum ESPRESSO input format:
```
&SYSTEM
  ibrav = 0, nat = 11, ntyp = 3
/
ATOMIC_SPECIES
Nd 144.24 Nd.upf
Mg 24.30 Mg.upf
Sn 118.71 Sn.upf
ATOMIC_POSITIONS crystal
Nd 0.000 0.000 0.000
Nd 0.339 0.339 0.075
Nd 0.339 0.339 0.602
Nd 0.661 0.661 0.398
Nd 0.661 0.661 0.925
Mg 0.073 0.073 0.574
Mg 0.927 0.927 0.426
Sn 0.211 0.211 0.711
Sn 0.500 0.500 0.298
Sn 0.500 0.500 0.702
Sn 0.789 0.789 0.289
CELL_PARAMETERS angstrom
10.898 -2.251 0.000
10.898 2.251 0.000
-2.676 0.000 7.167
```

# 10
First-principles (PBE) data for Cr3GeRh4 after structural relaxation, as listed in Alexandria. Values from VASP.

## Properties
Density of states at the Fermi level in states/eV per atom: 0.7620
Final energy in eV per atom: -8.0374
E_form in eV per atom: -0.1757
Crystal system: tetragonal
Space group: I4/mmm

The structure in Quantum ESPRESSO input format:
```
&SYSTEM
  ibrav = 0, nat = 8, ntyp = 3
/
ATOMIC_SPECIES
Cr 52.00 Cr.upf
Ge 72.64 Ge.upf
Rh 102.91 Rh.upf
ATOMIC_POSITIONS crystal
Cr 0.000 0.000 0.000
Cr 0.254 0.254 0.000
Cr 0.746 0.746 0.000
Ge 0.500 0.500 0.000
Rh 0.130 0.630 0.500
Rh 0.370 0.870 0.500
Rh 0.630 0.130 0.500
Rh 0.870 0.370 0.500
CELL_PARAMETERS angstrom
-1.920 1.920 7.313
1.920 -1.920 7.313
1.920 1.920 -7.313
```

# 11
First-principles (PBE) data for Li3B8C8 after structural relaxation, as listed in Alexandria. Values from VASP.

## Properties
Density of states at the Fermi level in states/eV per atom: 0.3231
Final energy in eV per atom: -6.9122
Polymorph energy (0 for the lowest one) in meV per atom: 79
E_form in eV per atom: 0.0853
Crystal system: monoclinic
Space group: P2/m

The structure in Quantum ESPRESSO input format:
```
&SYSTEM
  ibrav = 0, nat = 19, ntyp = 3
/
ATOMIC_SPECIES
Li 6.94 Li.upf
B 10.81 B.upf
C 12.01 C.upf
ATOMIC_POSITIONS crystal
Li 0.000 0.000 0.000
Li 0.500 0.248 0.500
Li 0.500 0.752 0.500
B 0.133 0.251 0.272
B 0.133 0.749 0.272
B 0.365 0.500 0.768
B 0.367 0.000 0.766
B 0.633 0.000 0.234
B 0.635 0.500 0.232
B 0.867 0.251 0.728
B 0.867 0.749 0.728
C 0.206 0.250 0.766
C 0.206 0.750 0.766
C 0.293 0.000 0.273
C 0.295 0.500 0.275
C 0.705 0.500 0.725
C 0.707 0.000 0.727
C 0.794 0.250 0.234
C 0.794 0.750 0.234
CELL_PARAMETERS angstrom
4.568 0.000 0.000
0.000 5.443 0.000
-0.001 0.000 7.434
```

# 12
First-principles (PBE) data for RbBH2 after structural relaxation, as listed in Alexandria. Values from VASP.

## Properties
Density of states at the Fermi level in states/eV per atom: 0.1198
Final energy in eV per atom: -3.4669
Polymorph energy (0 for the lowest one) in meV per atom: 183
Crystal system: triclinic
Space group: P1

The structure in Quantum ESPRESSO input format:
```
&SYSTEM
  ibrav = 0, nat = 8, ntyp = 3
/
ATOMIC_SPECIES
Rb 85.47 Rb.upf
B 10.81 B.upf
H 1.01 H.upf
ATOMIC_POSITIONS crystal
Rb 0.000 0.000 0.000
Rb 0.003 0.765 0.435
B 0.261 0.350 0.733
B 0.741 0.350 0.733
H 0.499 0.572 0.130
H 0.501 0.441 0.181
H 0.501 0.598 0.712
H 0.503 0.168 0.277
CELL_PARAMETERS angstrom
3.224 0.000 0.000
-0.002 4.329 0.000
-0.013 -2.022 8.706
```